Material: LiFeSi
Method: DFT, GGA-PBE
State: relaxed

a b c (Å): 3.924 3.924 2.503
angles (deg): 90.00 90.00 120.00
Last column: magnetic moment on the atom in μB.
Element x y z (fractional)
Si (0.333, 0.667, 0.657)  -0.05
Li (0.667, 0.333, 0.357)  -0.02
Fe (0.000, 0.000, 0.986)  1.18

ρ   4.5 Mg/m³
Formation energy (no corrections)   -36 kJ/mol of formula units
E   -16.17 eV/cell
Spin magnetization   1.06 μB per formula unit